K2LiW: optimized geometry, PBE.

Structure (extended XYZ):
```
4
Lattice="2.787 0.000 0.000 0.000 4.412 0.000 0.000 0.000 10.109" Properties=species:S:1:pos:R:3 pbc="T T T"
K 0.000 0.000 0.000
K 1.394 2.206 4.134
Li 0.000 0.000 6.581
W 1.394 2.206 7.582
```

Properties
Its formation energy is 1.1777 eV per atom. The value obtained for the total magnetization is 0.05 Bohr magnetons per cell.

KLi2W: optimized geometry, PBE.

Structure (extended XYZ):
```
4
Lattice="-2.179 2.179 5.182 2.179 -2.179 5.182 2.179 2.179 -5.182" Properties=species:S:1:pos:R:3 pbc="T T T"
K 0.000 0.000 0.000
Li 2.179 0.000 2.591
Li 0.000 0.000 5.182
W 0.000 2.179 2.591
```

Properties
Its formation energy is 1.4379 eV per atom. The value obtained for the total magnetization is 3.72 Bohr magnetons per cell.

KLi2W: optimized geometry, PBE.

Structure (extended XYZ):
```
4
Lattice="1.639 -2.244 0.000 1.639 2.244 0.000 0.000 0.000 11.508" Properties=species:S:1:pos:R:3 pbc="T T T"
K 0.000 0.000 0.000
Li 1.639 0.000 3.432
Li 1.639 0.000 8.076
W 0.000 0.000 5.754
```

Properties
Its formation energy is 0.7739 eV per atom. The value obtained for the total magnetization is 0.00 Bohr magnetons per cell.

K2LiW: optimized geometry, PBE.

Structure (extended XYZ):
```
4
Lattice="2.742 0.000 0.000 0.000 6.012 0.000 0.000 0.000 6.660" Properties=species:S:1:pos:R:3 pbc="T T T"
K 0.000 0.000 1.592
K 0.000 0.000 5.068
Li 1.371 3.006 3.330
W 1.371 3.006 0.000
```

Properties
Its formation energy is 1.3592 eV per atom. The value obtained for the total magnetization is 0.00 Bohr magnetons per cell.

K2LiW: optimized geometry, PBE.

Structure (extended XYZ):
```
4
Lattice="2.784 0.000 0.000 0.000 4.480 0.000 -1.202 0.000 10.015" Properties=species:S:1:pos:R:3 pbc="T T T"
K 0.000 0.000 0.000
K -0.027 2.240 5.882
Li -0.021 2.240 2.417
W 1.371 0.000 3.371
```

Properties
Its formation energy is 1.1737 eV per atom. The value obtained for the total magnetization is 0.29 Bohr magnetons per cell.

K2LiW: optimized geometry, PBE.

Structure (extended XYZ):
```
4
Lattice="1.523 0.879 12.882 -1.523 0.879 12.882 0.000 -1.758 12.882" Properties=species:S:1:pos:R:3 pbc="T T T"
K 0.000 0.000 9.439
K 0.000 0.000 29.207
Li 0.000 0.000 0.000
W 0.000 0.000 19.323
```

Properties
Its formation energy is 1.1845 eV per atom. The value obtained for the total magnetization is 0.50 Bohr magnetons per cell.

KLiW2: optimized geometry, PBE.

Structure (extended XYZ):
```
4
Lattice="2.654 0.000 0.000 0.000 4.232 0.000 0.000 0.000 8.076" Properties=species:S:1:pos:R:3 pbc="T T T"
K 0.000 0.000 0.000
Li 1.327 2.116 2.725
W 0.000 0.000 4.232
W 1.327 2.116 5.454
```

Properties
Its formation energy is 0.8865 eV per atom. The value obtained for the total magnetization is 0.00 Bohr magnetons per cell.

KLiW2: optimized geometry, PBE.

Structure (extended XYZ):
```
4
Lattice="-1.545 3.010 5.242 1.545 -3.010 5.242 1.545 3.010 -5.242" Properties=species:S:1:pos:R:3 pbc="T T T"
K 0.000 0.000 0.000
Li 1.545 0.000 2.932
W 0.000 0.000 5.540
W 0.000 3.010 2.112
```

Properties
Its formation energy is 1.3173 eV per atom. The value obtained for the total magnetization is 0.00 Bohr magnetons per cell.

KLi2W: optimized geometry, PBE.

Structure (extended XYZ):
```
4
Lattice="2.602 0.000 0.000 0.000 5.322 0.000 0.000 0.000 6.011" Properties=species:S:1:pos:R:3 pbc="T T T"
K 0.000 0.000 0.000
Li 0.000 0.000 3.127
Li 1.301 2.661 1.172
W 1.301 2.661 3.894
```

Properties
Its formation energy is 0.9817 eV per atom. The value obtained for the total magnetization is 0.00 Bohr magnetons per cell.

KLi2W: optimized geometry, PBE.

Structure (extended XYZ):
```
8
Lattice="-4.037 4.037 3.359 4.037 -4.037 3.359 4.037 4.037 -3.359" Properties=species:S:1:pos:R:3 pbc="T T T"
K 0.000 0.000 0.000
K 0.000 4.037 1.679
Li 2.019 2.295 -0.840
Li 5.779 2.019 0.840
Li 2.019 1.742 2.519
Li -1.742 2.019 4.198
W 4.037 0.000 1.679
W 0.000 0.000 3.359
```

Properties
Its formation energy is 1.4970 eV per atom. The value obtained for the total magnetization is 8.49 Bohr magnetons per cell.

KLi2W: optimized geometry, PBE.

Structure (extended XYZ):
```
4
Lattice="4.902 -1.316 0.000 4.902 1.316 0.000 -0.294 0.000 7.163" Properties=species:S:1:pos:R:3 pbc="T T T"
K 0.000 0.000 0.000
Li 2.147 0.000 4.745
Li 7.363 0.000 2.418
W 4.755 0.000 3.581
```

Properties
Its formation energy is 0.9123 eV per atom. The value obtained for the total magnetization is 0.17 Bohr magnetons per cell.

KLi2W: optimized geometry, PBE.

Structure (extended XYZ):
```
4
Lattice="2.681 0.000 0.000 0.000 5.658 0.000 0.000 0.000 6.032" Properties=species:S:1:pos:R:3 pbc="T T T"
K 0.000 0.000 0.000
Li 0.000 2.829 3.016
Li 1.340 2.829 0.000
W 1.340 0.000 3.016
```

Properties
Its formation energy is 1.2234 eV per atom. The value obtained for the total magnetization is 0.97 Bohr magnetons per cell.